1.
A plane-wave DFT calculation with SCAN was carried out for a crystal of AlF3 relaxed with PBEsol.

Results
- ΔE_f (raw) (eV/f.u.) = -15.31
- magnetic moment (μB per formula unit) = 0.000
- space group = P4/mbm, No. 127
- VASP energy (eV/atom) = -8.42
- N(E_F) (states/eV per cell) = 0.00

Cell: 3.6070 11.5173 11.5173 Å, 90.00 90.00 90.00°
Element x y z (fractional)
F: 0.5000 0.2084 0.0773
Al: 0.0000 0.5000 0.0000
F: 0.0000 0.4999 0.8445
F: 0.5000 0.0000 0.5000
F: 0.5000 0.5000 0.0000
F: 0.5000 0.2916 0.5773
Al: 0.0000 0.2080 0.0759
Al: 0.0000 0.9241 0.2080
F: 0.0000 0.2845 0.2155
F: 0.0000 0.0671 0.1413
F: 0.0000 0.6413 0.5671
F: 0.0000 0.4329 0.6413
F: 0.0000 0.5671 0.3587
Al: 0.0000 0.7080 0.4241
F: 0.5000 0.5773 0.7084
F: 0.0000 0.1413 0.9329
F: 0.0000 0.8587 0.0671
F: 0.5000 0.7916 0.9227
Al: 0.0000 0.7920 0.9241
F: 0.0000 0.9999 0.6555
F: 0.5000 0.7084 0.4227
F: 0.0000 0.5001 0.1555
F: 0.0000 0.7845 0.2845
F: 0.5000 0.9227 0.2084
F: 0.0000 0.3445 0.9999
F: 0.0000 0.3587 0.4329
F: 0.0000 0.1555 0.4999
F: 0.0000 0.7155 0.7845
F: 0.5000 0.4227 0.2916
Al: 0.0000 0.2920 0.5759
F: 0.5000 0.0773 0.7916
F: 0.0000 0.9329 0.8587
F: 0.0000 0.6555 0.0001
Al: 0.0000 0.4241 0.2920
Al: 0.0000 0.5759 0.7080
F: 0.0000 0.8445 0.5001
Al: 0.0000 0.0759 0.7920
F: 0.0000 0.0001 0.3445
F: 0.0000 0.2155 0.7155
Al: 0.0000 0.0000 0.5000

---

2.
A plane-wave DFT calculation with SCAN was carried out for a crystal of YBiPO2 relaxed with PBEsol.

Results
- ΔE_f (raw) (eV/f.u.) = -5.43
- magnetic moment (μB per formula unit) = 0.878
- space group = P4/mmm, No. 123
- VASP energy (eV/atom) = -26.94
- N(E_F) (states/eV per cell) = 3.42

Cell: 4.2165 4.2165 5.5303 Å, 90.00 90.00 90.00°
Each line ends with the local moment (μB).
Element x y z (fractional)
O: 0.5000 0.0000 0.0000  0.32
Bi: 0.5000 0.5000 0.5000  -0.05
O: 0.0000 0.5000 0.0000  0.32
Y: 0.0000 0.0000 0.0000  0.03
P: 0.0000 0.0000 0.5000  0.13